(1)
PBE Y2AlGeOs, relaxed; density of states at the Fermi level = 7.21 states/eV per cell; energy of formation from the pure elements = 0.038 eV per atom; electronic total energy = -6.466 eV/atom; crystal system = tetragonal
1.0
-4.7099 -2.4992 0.7109
1.3751 -1.3691 4.2974
-2.0714 4.4999 2.0964
Os Ge Y Al
1 1 2 1
Direct
0.0000 0.0000 0.0000
0.0000 0.5000 0.0000
0.0000 0.0000 0.5000
0.5000 0.0000 0.0000
0.5000 0.5000 0.5000

***

(2)
PBE Zr2AlGeOs, relaxed; density of states at the Fermi level = 4.25 states/eV per cell; energy of formation from the pure elements = 0.754 eV per atom; electronic total energy = -6.583 eV/atom; crystal system = tetragonal
1.0
-1.4161 2.4876 -4.0532
-4.0930 0.0127 1.4378
0.8364 4.2934 2.3428
Zr Al Ge Os
2 1 1 1
Direct
0.0000 0.0000 0.5000
0.5000 0.0000 0.0000
0.0000 0.5000 0.0000
0.0000 0.0000 0.0000
0.5000 0.5000 0.5000